# VHSeS2, relaxed, DFT PBE-GGA
# - raw total energy (eV per atom) = -4.505
# - size of the total moment (Bohr magnetons per cell) = 0.84
data_VHSeS2
_chemical_formula_sum 'V1 H1 Se1 S2'
_symmetry_space_group_name_H-M 'P 4/m m m'
_symmetry_Int_Tables_number 123
_symmetry_space_group_name_Hall '-P 4 2'
_cell_length_a 4.5181
_cell_length_b 4.5181
_cell_length_c 4.8761
_cell_angle_alpha 90.00
_cell_angle_beta 90.00
_cell_angle_gamma 90.00
loop_
_atom_site_label
_atom_site_type_symbol
_atom_site_fract_x
_atom_site_fract_y
_atom_site_fract_z
V1 V 0.0000 0.0000 0.0000
H1 H 0.5000 0.5000 0.5000
Se1 Se 0.0000 0.0000 0.5000
S1 S 0.0000 0.5000 0.0000